## BaLaZr2 (PBE)

Data for BaLaZr2 after structural relaxation.

Cell lengths 8.896, 8.896, 7.070 Å; angles 51.01, 51.01, 90.00 degrees
Site moments in Bohr magnetons follow the coordinates.
Atoms (fractional coordinates):
La1 0.750 0.250 0.500  0.13
Ba1 0.250 0.750 0.500  0.02
La2 0.000 0.000 0.000  0.13
Ba2 0.500 0.500 0.000  0.02
Zr1 0.117 0.625 0.250  0.30
Zr2 0.633 0.125 0.250  0.31
Zr3 0.375 0.367 0.750  0.30
Zr4 0.875 0.883 0.750  0.29

Final energy (eV per atom): -5.072
ΔH_f (0 K) (eV/atom): 0.91